1.
Li2VF6 | Alexandria via LeMat-Bulk | meta-GGA SCAN | PBEsol geometry; uncorrected formation energy = -3126.9 meV/atom; calculated volume = 119.8 Å³/f.u.
1.0
-3.2268 0.3019 -3.8704
-0.7328 -4.6412 2.8129
-1.9321 4.7777 1.9636
Li F V
2 6 1
Direct
0.6117 0.4988 0.2493
0.3883 0.5012 0.7507
0.7208 0.7716 0.6567
0.8609 0.2948 0.1466
0.2803 0.2270 0.8837
0.7197 0.7730 0.1163
0.2792 0.2284 0.3433
0.1391 0.7052 0.8534
0.0000 0.0000 0.0000

2.
BaFeRu3 | Alexandria via LeMat-Bulk | meta-GGA SCAN | PBEsol geometry; energy relative to the elements = 69.113 kcal/mol of atoms; DOS at the Fermi energy = 5.36 states/eV per cell; calculated volume = 112.4 Å³/f.u.
1.0
-4.4346 -1.5963 -1.0396
1.5927 -1.6621 -4.2421
1.0450 -4.2407 2.0540
Ru Ba Fe
3 1 1
Direct
0.0000 0.0000 0.5000
0.5000 0.0000 0.0000
0.0000 0.5000 0.0000
0.0000 0.0000 0.0000
0.5000 0.5000 0.5000

3.
HgTe2 | Alexandria via LeMat-Bulk | meta-GGA SCAN | PBEsol geometry; DOS at the Fermi energy = 5.44 states/eV per cell; uncorrected formation energy = 229.8 meV/atom; calculated volume = 87.8 Å³/f.u.
1.0
3.7759 0.0000 0.0000
0.0000 8.9729 0.0000
0.0000 -4.4865 7.7708
Hg Te
3 6
Direct
0.5000 0.0000 0.0000
0.0000 0.6667 0.3333
0.0000 0.3333 0.6667
0.5000 0.4881 0.4881
0.0000 0.7471 0.7471
0.5000 0.0000 0.5119
0.0000 0.2529 0.0000
0.5000 0.5119 0.0000
0.0000 0.0000 0.2529

4.
BaSiPt2 | Alexandria via LeMat-Bulk | meta-GGA SCAN | PBEsol geometry; DOS at the Fermi energy = 1.60 states/eV per cell; uncorrected formation energy = -933.3 meV/atom; calculated volume = 88.8 Å³/f.u.
1.0
4.2157 0.0000 0.0000
2.1079 3.6509 0.0000
2.1079 1.2170 5.7726
Ba Pt Si
1 2 1
Direct
0.0000 0.0000 0.0000
0.8004 0.8004 0.5988
0.1996 0.1996 0.4012
0.5000 0.5000 0.5000

5.
KRb2F | Alexandria via LeMat-Bulk | meta-GGA SCAN | PBEsol geometry; DOS at the Fermi energy = 3.42 states/eV per cell; uncorrected formation energy = -1350.0 meV/atom; calculated volume = 227.3 Å³/f.u.
1.0
8.6304 0.0000 0.0000
4.3152 7.4741 0.0000
4.3152 2.4914 7.0467
F Rb K
2 4 2
Direct
0.2500 0.2500 0.2500
0.0000 0.0000 0.0000
0.1250 0.6250 0.1250
0.1250 0.1250 0.1250
0.6250 0.1250 0.1250
0.1250 0.1250 0.6250
0.5000 0.5000 0.5000
0.7500 0.7500 0.7500

6.
WAu3I | Alexandria via LeMat-Bulk | meta-GGA SCAN | PBEsol geometry; DOS at the Fermi energy = 3.57 states/eV per cell; uncorrected formation energy = 1176.1 meV/atom; calculated volume = 126.9 Å³/f.u.
1.0
-0.7716 -2.0783 -4.5090
-4.3460 -1.9236 1.6304
-2.4006 4.1504 -1.5023
Au I W
3 1 1
Direct
0.0000 0.0000 0.5000
0.0000 0.5000 0.0000
0.5000 0.0000 0.0000
0.5000 0.5000 0.5000
0.0000 0.0000 0.0000